The following is a DFT calculation (PBE) of a relaxed structure of PrNd2Pb.

## Properties
* E above lowest polymorph: 0.0952 eV/atom
* space group: P4/mmm, No. 123
* total energy: -19.01 eV per cell
* formation energy: -23.7 kJ per mole of atoms

Structure (POSCAR):
```
PrNd2Pb
1.0
4.3234 0.0000 0.0000
0.0000 4.3234 0.0000
0.0000 0.0000 6.9841
Pr Nd Pb
1 2 1
Direct
0.0000 0.0000 0.0000
0.5000 0.5000 0.2719
0.5000 0.5000 0.7281
0.0000 0.0000 0.5000
```